No. 1
VASP calculation (GGA-PBE) on crystalline Na3TlHg at its relaxed geometry.

Results
space group	P2_1/m, No. 11
crystal system	monoclinic
offset from the most stable computed form	0.0	meV per atom
formation enthalpy at 0 K	-117	meV per atom
energy	-1.44	eV/atom

Cell lengths 5.472, 6.173, 9.010 Å; angles 90.00, 107.42, 90.00 degrees
Element x y z (fractional)
1 Tl 0.764 0.750 0.529
2 Tl 0.236 0.250 0.471
3 Na 0.375 0.750 0.752
4 Na 0.000 0.000 0.000
5 Na 0.171 0.750 0.343
6 Na 0.625 0.250 0.248
7 Na 0.000 0.500 0.000
8 Na 0.829 0.250 0.657
9 Hg 0.433 0.250 0.863
10 Hg 0.567 0.750 0.137

=====

No. 2
VASP calculation (GGA-PBE) on crystalline Na2Tl3Hg5 at its relaxed geometry.

Results
space group	C2/m, No. 12
crystal system	monoclinic
formation enthalpy at 0 K	-80	meV per atom
energy	-1.20	eV/atom

Cell lengths 5.106, 7.141, 11.582 Å; angles 121.85, 77.26, 69.05 degrees
Element x y z (fractional)
1 Tl 0.047 0.747 0.159
2 Tl 0.500 0.500 0.500
3 Tl 0.953 0.253 0.841
4 Hg 0.144 0.201 0.512
5 Hg 0.577 0.597 0.249
6 Hg 0.423 0.403 0.751
7 Hg 0.000 0.000 0.000
8 Hg 0.856 0.799 0.488
9 Na 0.308 0.170 0.214
10 Na 0.692 0.830 0.786

=====

No. 3
VASP calculation (GGA-PBE) on crystalline NaTl11Hg5 at its relaxed geometry.

Results
space group	C2/m, No. 12
crystal system	monoclinic
formation enthalpy at 0 K	-18	meV per atom
energy	-1.72	eV/atom

Cell lengths 6.439, 9.013, 9.013 Å; angles 95.60, 81.59, 81.59 degrees
Element x y z (fractional)
1 Tl 0.477 0.641 0.641
2 Tl 0.127 0.114 0.360
3 Tl 0.127 0.360 0.114
4 Tl 0.873 0.886 0.640
5 Tl 0.523 0.359 0.359
6 Tl 0.243 0.742 0.331
7 Tl 0.873 0.640 0.886
8 Tl 0.757 0.258 0.669
9 Tl 0.757 0.669 0.258
10 Tl 0.243 0.331 0.742
11 Tl 0.500 0.000 0.000
12 Hg 0.659 0.012 0.341
13 Hg 0.659 0.341 0.012
14 Hg 0.341 0.988 0.659
15 Hg 0.000 0.500 0.500
16 Hg 0.341 0.659 0.988
17 Na 0.000 0.000 0.000

=====

No. 4
VASP calculation (GGA-PBE) on crystalline Na5Tl2Hg2 at its relaxed geometry.

Results
space group	C2/m, No. 12
crystal system	monoclinic
offset from the most stable computed form	0.0	meV per atom
formation enthalpy at 0 K	-149	meV per atom
energy	-1.47	eV/atom

Cell lengths 4.890, 5.944, 10.922 Å; angles 63.25, 77.06, 65.71 degrees
Element x y z (fractional)
1 Hg 0.757 0.078 0.408
2 Hg 0.243 0.922 0.592
3 Na 0.073 0.513 0.342
4 Na 0.377 0.013 0.234
5 Na 0.000 0.000 0.000
6 Na 0.623 0.987 0.766
7 Na 0.927 0.487 0.658
8 Tl 0.688 0.522 0.101
9 Tl 0.312 0.478 0.899

=====

No. 5
VASP calculation (GGA-PBE) on crystalline Na3Tl3Hg2 at its relaxed geometry.

Results
space group	Cmcm, No. 63
crystal system	orthorhombic
offset from the most stable computed form	9.7	meV per atom
formation enthalpy at 0 K	-128	meV per atom
energy	-1.59	eV/atom

Cell lengths 5.035, 6.226, 16.072 Å; angles 90.00, 90.00, 113.85 degrees
Element x y z (fractional)
1 Na 0.712 0.424 0.250
2 Na 0.066 0.132 0.604
3 Na 0.934 0.868 0.396
4 Na 0.066 0.132 0.896
5 Na 0.934 0.868 0.104
6 Na 0.288 0.576 0.750
7 Tl 0.619 0.238 0.052
8 Tl 0.381 0.762 0.948
9 Tl 0.436 0.872 0.250
10 Tl 0.381 0.762 0.552
11 Tl 0.619 0.238 0.448
12 Tl 0.564 0.128 0.750
13 Hg 0.763 0.527 0.880
14 Hg 0.763 0.527 0.620
15 Hg 0.237 0.473 0.120
16 Hg 0.237 0.473 0.380

=====

No. 6
VASP calculation (GGA-PBE) on crystalline NaTl2Hg3 at its relaxed geometry.

Results
space group	Cmmm, No. 65
crystal system	orthorhombic
offset from the most stable computed form	0.0	meV per atom
formation enthalpy at 0 K	-107	meV per atom
energy	-1.27	eV/atom

Cell lengths 5.642, 8.955, 6.876 Å; angles 90.00, 90.00, 71.64 degrees
Element x y z (fractional)
1 Hg 0.500 0.000 0.244
2 Hg 0.173 0.654 0.240
3 Hg 0.500 0.000 0.756
4 Hg 0.173 0.654 0.760
5 Hg 0.827 0.346 0.760
6 Hg 0.827 0.346 0.240
7 Tl 0.000 0.000 0.500
8 Tl 0.000 0.000 0.000
9 Tl 0.663 0.674 0.500
10 Tl 0.337 0.326 0.500
11 Na 0.663 0.674 0.000
12 Na 0.337 0.326 0.000

=====

No. 7
VASP calculation (GGA-PBE) on crystalline Na2TlHg2 at its relaxed geometry.

Results
space group	P4/mbm, No. 127
crystal system	tetragonal
offset from the most stable computed form	0.0	meV per atom
formation enthalpy at 0 K	-187	meV per atom
energy	-1.31	eV/atom

Cell lengths 8.584, 8.584, 3.707 Å; angles 90.00, 90.00, 90.00 degrees
Element x y z (fractional)
1 Na 0.329 0.171 0.500
2 Na 0.671 0.829 0.500
3 Na 0.829 0.329 0.500
4 Na 0.171 0.671 0.500
5 Hg 0.873 0.627 0.000
6 Hg 0.627 0.127 0.000
7 Hg 0.127 0.373 0.000
8 Hg 0.373 0.873 0.000
9 Tl 0.500 0.500 0.000
10 Tl 0.000 0.000 0.000

=====

No. 8
VASP calculation (GGA-PBE) on crystalline NaTl4Hg2 at its relaxed geometry.

Results
space group	P4_2/mnm, No. 136
crystal system	tetragonal
offset from the most stable computed form	44.3	meV per atom
formation enthalpy at 0 K	-21	meV per atom
energy	-1.65	eV/atom

Cell lengths 5.129, 9.255, 9.255 Å; angles 90.00, 90.00, 90.00 degrees
Element x y z (fractional)
1 Hg 0.000 0.168 0.832
2 Hg 0.500 0.332 0.332
3 Hg 0.000 0.832 0.168
4 Hg 0.500 0.668 0.668
5 Tl 0.000 0.110 0.356
6 Tl 0.000 0.644 0.890
7 Tl 0.000 0.356 0.110
8 Tl 0.500 0.856 0.390
9 Tl 0.000 0.890 0.644
10 Tl 0.500 0.610 0.144
11 Tl 0.500 0.390 0.856
12 Tl 0.500 0.144 0.610
13 Na 0.500 0.000 0.000
14 Na 0.000 0.500 0.500

=====

No. 9
VASP calculation (GGA-PBE) on crystalline Na4Tl2Hg9 at its relaxed geometry.

Results
space group	P-3m1, No. 164
crystal system	trigonal
formation enthalpy at 0 K	-168	meV per atom
energy	-1.02	eV/atom

Cell lengths 5.214, 5.214, 16.929 Å; angles 90.00, 90.00, 120.00 degrees
Element x y z (fractional)
1 Hg 0.000 0.000 0.500
2 Hg 0.000 0.000 0.095
3 Hg 0.667 0.333 0.437
4 Hg 0.000 0.000 0.905
5 Hg 0.667 0.333 0.048
6 Hg 0.333 0.667 0.952
7 Hg 0.333 0.667 0.563
8 Hg 0.000 0.000 0.715
9 Hg 0.000 0.000 0.285
10 Na 0.333 0.667 0.372
11 Na 0.333 0.667 0.149
12 Na 0.667 0.333 0.628
13 Na 0.667 0.333 0.851
14 Tl 0.333 0.667 0.751
15 Tl 0.667 0.333 0.249

=====

No. 10
VASP calculation (GGA-PBE) on crystalline Na5Tl4Hg4 at its relaxed geometry.

Results
space group	I4/m, No. 87
crystal system	tetragonal
formation enthalpy at 0 K	-145	meV per atom
energy	-1.47	eV/atom

Cell lengths 5.015, 9.035, 9.035 Å; angles 85.58, 73.89, 73.89 degrees
Element x y z (fractional)
1 Na 0.615 0.682 0.087
2 Na 0.298 0.087 0.318
3 Na 0.385 0.318 0.913
4 Na 0.000 0.000 0.000
5 Na 0.702 0.913 0.682
6 Hg 0.769 0.314 0.147
7 Hg 0.231 0.686 0.853
8 Hg 0.083 0.147 0.686
9 Hg 0.917 0.853 0.314
10 Tl 0.891 0.519 0.699
11 Tl 0.410 0.699 0.481
12 Tl 0.590 0.301 0.519
13 Tl 0.109 0.481 0.301

=====

No. 11
VASP calculation (GGA-PBE) on crystalline Na2TlHg2 at its relaxed geometry.

Results
space group	C2/m, No. 12
crystal system	monoclinic
offset from the most stable computed form	126.1	meV per atom
formation enthalpy at 0 K	-61	meV per atom
energy	-1.18	eV/atom

Cell lengths 5.187, 5.187, 6.090 Å; angles 91.08, 91.08, 114.70 degrees
Element x y z (fractional)
1 Na 0.826 0.174 0.500
2 Na 0.174 0.826 0.500
3 Hg 0.514 0.514 0.254
4 Hg 0.486 0.486 0.746
5 Tl 0.000 0.000 0.000